#P
Rb2Ba2Cd | PBE | relaxed

Cell lengths 9.2617, 9.2617, 7.8089 Å; angles 90.00, 90.00, 90.00 degrees
Element x y z (fractional)
Rb: 0.1738 0.3262 0.0000
Rb: 0.3262 0.8262 0.0000
Rb: 0.6738 0.1738 0.0000
Rb: 0.8262 0.6738 0.0000
Ba: 0.1679 0.6679 0.5000
Ba: 0.3321 0.1679 0.5000
Ba: 0.6679 0.8321 0.5000
Ba: 0.8321 0.3321 0.5000
Cd: 0.0000 0.0000 0.5000
Cd: 0.5000 0.5000 0.5000

Properties
- calculated volume (A^3/atom) = 66.98

=====

#Q
Rb2Ba2Cd | PBE | relaxed

Cell lengths 9.2245, 9.2245, 7.2300 Å; angles 90.00, 90.00, 90.00 degrees
Element x y z (fractional)
Rb: 0.1470 0.3530 0.0000
Rb: 0.3530 0.8530 0.0000
Rb: 0.6470 0.1470 0.0000
Rb: 0.8530 0.6470 0.0000
Ba: 0.1811 0.6811 0.5000
Ba: 0.3189 0.1811 0.5000
Ba: 0.6811 0.8189 0.5000
Ba: 0.8189 0.3189 0.5000
Cd: 0.0000 0.0000 0.0000
Cd: 0.5000 0.5000 0.0000

Properties
- calculated volume (A^3/atom) = 61.52

=====

Relative energy of each structure, in kJ/mol of atoms: #P 0.0; #Q 11.1.